LiHf4Te8 | PBE | relaxed

a b c (Å): 8.285 8.285 8.285
angles (deg): 60.00 60.00 60.00
Positions (direct):
Li 0.750 0.750 0.750
Hf 0.890 0.370 0.370
Hf 0.370 0.890 0.370
Hf 0.370 0.370 0.890
Hf 0.370 0.370 0.370
Te 0.630 0.123 0.123
Te 0.123 0.630 0.123
Te 0.123 0.123 0.630
Te 0.123 0.123 0.123
Te 0.141 0.620 0.620
Te 0.620 0.141 0.620
Te 0.620 0.620 0.141
Te 0.620 0.620 0.620

Properties
Symmetry: F-43m
Energy above the most stable polymorph in this dataset (eV/atom): 0.045
Raw formation energy (kJ/mol of atoms): -79.0
Total DFT energy (no corrections) (eV/atom): -5.962